(1)
HgNF3 | PBE | relaxed

The calculation puts the density of states at the Fermi level at 0.381 states/eV/atom. The formation energy (no corrections) comes out at 0.260 eV/atom. The electronic total energy comes out at -12.9 eV/cell.

The structure belongs to space group Pm-3m (No. 221); the cell edges are 3.978, 3.978 and 3.978 Å and the angles 90.00°, 90.00° and 90.00°. Symmetry generates all atoms from Hg at (0.000, 0.000, 0.000), N at (0.500, 0.500, 0.500) and F at (0.000, 0.500, 0.500).


(2)
Zr5P | PBE | relaxed

The calculation puts the density of states at the Fermi level at 1.576 states/eV/atom. The value obtained for the formation enthalpy at 0 K is -5.805 kcal/mol of atoms. The electronic total energy comes out at -99.3 eV/cell.

The structure belongs to space group Cmmm (No. 65); the cell edges are 4.078, 13.395 and 4.550 Å and the angles 90.00°, 90.00° and 90.00°. Symmetry generates all atoms from Zr at (0.000, 0.000, 0.000), Zr at (0.000, 0.147, 0.500), Zr at (0.000, 0.337, 0.000) and P at (0.000, 0.500, 0.500).


(3)
AlAs2Os | PBE | relaxed

The calculation puts the density of states at the Fermi level at 0.868 states/eV/atom. The value obtained for the formation enthalpy at 0 K is 0.117 kcal/mol of atoms. The electronic total energy comes out at -72.8 eV/cell.

The structure belongs to space group R3m (No. 160, hexagonal axes); the cell edges are 2.9711, 2.9711 and 28.2742 Å and the angles 90.00°, 90.00° and 120.00°. Symmetry generates all atoms from Al at (0.0000, 0.0000, 0.0000), As at (0.0000, 0.0000, 0.5290), As at (0.0000, 0.0000, 0.7397) and Os at (0.0000, 0.0000, 0.2613).